GGA-PBE DyHfZr, relaxed; total moment = 0.0 μB per cell; ρ = 9.41 g cm⁻³; E = -0.27878 Ha/atom; calculated formation energy = 11.1 kJ/mol of atoms; DOS(E_F) = 17.5 states/eV/cell
1.0
4.5400 0.0000 0.0000
0.0000 14.8674 0.0000
0.0000 0.0000 4.5206
Dy Hf Zr
4 4 4
Direct
0.0000 0.2500 0.2500 Dy
0.0000 0.7500 0.7500 Dy
0.5000 0.2500 0.7500 Dy
0.5000 0.7500 0.2500 Dy
0.0000 0.0714 0.7500 Hf
0.0000 0.9286 0.2500 Hf
0.5000 0.4286 0.2500 Hf
0.5000 0.5714 0.7500 Hf
0.0000 0.4279 0.7500 Zr
0.0000 0.5721 0.2500 Zr
0.5000 0.0721 0.2500 Zr
0.5000 0.9279 0.7500 Zr